Entry 1:
GGA-PBE Tb3PmSm2, optimized geometry; M_tot = 0.0 μB per formula unit; ΔE to the lowest computed polymorph = 96 meV/atom; ΔH_f (0 K) = 0.215 eV per atom; symmetry = Cmc2_1, No. 36; energy = -4.46 eV/atom
1.0
4.763 -6.620 0.000
4.763 6.620 0.000
0.000 0.000 6.421
Tb Pm Sm
6 2 4
direct
0.082 0.918 0.500
0.124 0.510 0.710
0.490 0.876 0.710
0.510 0.124 0.210
0.876 0.490 0.210
0.918 0.082 0.000
0.176 0.824 0.026
0.824 0.176 0.526
0.258 0.378 0.250
0.378 0.258 0.750
0.622 0.742 0.250
0.742 0.622 0.750

=====

Entry 2:
GGA-PBE SrMg2, optimized geometry; M_tot = 0.0 μB per formula unit; ΔH_f (0 K) = 0.047 eV per atom; symmetry = I4_1/amd, No. 141; energy = -1.58 eV/atom
1.0
-2.379 2.379 9.356
2.379 -2.379 9.356
2.379 2.379 -9.356
Sr Mg
2 4
direct
0.375 0.625 0.750
0.625 0.375 0.250
0.045 0.795 0.250
0.205 0.955 0.250
0.795 0.045 0.750
0.955 0.205 0.750